Density functional theory data (PBE-GGA) for an optimized crystal structure of LiAcBiRu.

Lattice parameters (Å, degrees): 5.045 5.045 5.045 60.00 60.00 60.00
Atoms (fractional coordinates):
Ru (0.750, 0.750, 0.750)
Ac (0.000, 0.000, 0.000)
Bi (0.500, 0.500, 0.500)
Li (0.250, 0.250, 0.250)

Computed properties:
- crystal system = cubic
- DOS(E_F) (states/eV per cell) = 5.61
- E_tot (eV/atom) = -4.975
- space-group type = F-43m, No. 216
- energy of formation (kJ/mol of formula units) = -69.4